## A
## Ca2TeSe2 (PBE-GGA)

Data for a relaxed Ca2TeSe2 crystal.

POSCAR file:
```
Ca2TeSe2
1.0
5.5826 0.0000 0.0000
0.0000 5.5826 0.0000
2.7913 2.7913 4.4806
Ca Te Se
2 1 2
Cartesian
5.5826 2.7913 2.2403
2.7913 5.5826 2.2403
0.0000 0.0000 0.0000
2.7913 2.7913 1.2806
5.5826 5.5826 3.2000
```

---

## B
## Ca2TeSe2 (PBE-GGA)

Data for a relaxed Ca2TeSe2 crystal.

POSCAR file:
```
Ca2TeSe2
1.0
-0.5922 3.8456 -1.5394
0.7140 -1.4371 -3.8645
-7.5729 -0.3103 -3.5491
Ca Te Se
2 1 2
Cartesian
-1.6867 0.8575 -2.8959
-5.7644 1.2407 -6.0571
0.0000 0.0000 0.0000
-4.0521 2.3698 -3.8952
-3.3990 -0.2715 -5.0578
```

---

A wins, 0.131 eV/atom ahead of the next structure.